! MgAgAs2 | Alexandria via LeMat-Bulk | GGA-PBE | relaxed; values from VASP
! Formation enthalpy at 0 K: -0.22 eV/f.u.
! SG: P2/m
! Total magnetic moment: 0.00 μB per cell
! DOS at the Fermi energy: 0.9 states/eV/cell
&SYSTEM
  ibrav = 0, nat = 4, ntyp = 3
/
ATOMIC_SPECIES
As 74.92 As.upf
Mg 24.30 Mg.upf
Ag 107.87 Ag.upf
CELL_PARAMETERS angstrom
-0.099 3.129 2.355
-3.380 0.882 -1.314
-4.144 -2.669 3.373
ATOMIC_POSITIONS crystal
As 0.000 0.884 0.031
Mg 0.500 0.250 0.250
As 0.000 0.616 0.469
Ag 0.500 0.750 0.750

***

! TaSiBi3 | Alexandria via LeMat-Bulk | GGA-PBE | relaxed; values from VASP
! SG: Pm-3m
! Raw formation energy: 1.34 eV/atom
! Total magnetic moment: 2.34 μB per cell
! DOS at the Fermi energy: 8.9 states/eV/cell
! Energy relative to the lowest polymorph listed for this composition: 381 meV/atom
&SYSTEM
  ibrav = 0, nat = 5, ntyp = 3
/
ATOMIC_SPECIES
Bi 208.98 Bi.upf
Ta 180.95 Ta.upf
Si 28.09 Si.upf
CELL_PARAMETERS angstrom
-4.952 0.236 -1.879
-0.819 -5.010 1.527
-1.708 1.717 4.716
ATOMIC_POSITIONS crystal
Bi 0.000 0.500 0.000
Ta 0.500 0.500 0.500
Bi 0.000 0.000 0.500
Si 0.000 0.000 0.000
Bi 0.500 0.000 0.000

***

! Si3TcSe | Alexandria via LeMat-Bulk | GGA-PBE | relaxed; values from VASP
! SG: Pm-3m
! Raw formation energy: 0.35 eV/atom
! Total magnetic moment: 0.00 μB per cell
! DOS at the Fermi energy: 8.0 states/eV/cell
! Energy relative to the lowest polymorph listed for this composition: 0 meV/atom
&SYSTEM
  ibrav = 0, nat = 5, ntyp = 3
/
ATOMIC_SPECIES
Si 28.09 Si.upf
Tc 98.00 Tc.upf
Se 78.96 Se.upf
CELL_PARAMETERS angstrom
4.672 0.000 0.000
0.000 4.672 0.000
0.000 0.000 4.672
ATOMIC_POSITIONS crystal
Si 0.500 0.000 0.000
Tc 0.000 0.000 0.000
Si 0.000 0.500 0.000
Si 0.000 0.000 0.500
Se 0.500 0.500 0.500

***

! Rb2BSe3 | Alexandria via LeMat-Bulk | GGA-PBE | relaxed; values from VASP
! SG: C2/c
! Raw formation energy: -0.63 eV/atom
! Total magnetic moment: 0.00 μB per cell
! DOS at the Fermi energy: 2.5 states/eV/cell
! Energy relative to the lowest polymorph listed for this composition: 51 meV/atom
&SYSTEM
  ibrav = 0, nat = 12, ntyp = 3
/
ATOMIC_SPECIES
Rb 85.47 Rb.upf
Se 78.96 Se.upf
B 10.81 B.upf
CELL_PARAMETERS angstrom
6.107 -0.059 -0.042
0.492 8.240 0.110
0.492 2.795 7.752
ATOMIC_POSITIONS crystal
Rb 0.745 0.186 0.527
Rb 0.245 0.527 0.186
Se 0.815 0.853 0.900
Se 0.750 0.657 0.343
B 0.250 0.134 0.866
B 0.750 0.866 0.134
Se 0.685 0.100 0.147
Se 0.250 0.343 0.657
Se 0.315 0.900 0.853
Se 0.185 0.147 0.100
Rb 0.755 0.473 0.814
Rb 0.255 0.814 0.473